[1]
# Tl2CdC

A relaxed Tl2CdC crystal (PBE, Alexandria via LeMat-Bulk).

Results
The density of states at the Fermi level comes out at 3.91 states/eV per cell. The energy above the most stable polymorph in this dataset is 0 meV per atom. The value obtained for the formation energy from the elements is 1.030 eV per atom. Its uncorrected energy is -2.6875 eV/atom. The magnetization is 0.0 μB/f.u.

Cell lengths 6.5863, 6.5863, 9.8246 Å; angles 90.00, 90.00, 90.00 degrees
Closest atoms and distances in Å follow each position.
Space group I-42d (No. 122)
Asymmetric unit:
Tl1 0.1546 0.2500 0.1250  2 C 2.29
Cd1 0.0000 0.0000 0.5000  4 Tl 3.06
C1 0.0000 0.0000 0.0000  4 Tl 2.29

***

[2]
# TlZn2CdC

A relaxed TlZn2CdC crystal (PBE, Alexandria via LeMat-Bulk).

Results
The density of states at the Fermi level comes out at 4.11 states/eV per cell. The value obtained for the formation energy from the elements is 1.753 eV per atom. Its uncorrected energy is -1.2576 eV/atom. The magnetization is 2.7 μB/f.u.

Cell lengths 5.1659, 5.1659, 5.7204 Å; angles 90.00, 90.00, 90.00 degrees
Closest atoms and distances in Å follow each position.
Space group P4/mmm (No. 123)
Asymmetric unit:
Tl1 0.0000 0.0000 0.0000  4 Zn 2.58, 2 Cd 2.86
Zn1 0.0000 0.5000 0.0000  2 Tl 2.58
Cd1 0.0000 0.0000 0.5000  2 Tl 2.86
C1 0.5000 0.5000 0.5000  4 Cd 3.65, 8 Zn 3.85

***

[3]
# Tm3Cd2C

A relaxed Tm3Cd2C crystal (PBE, Alexandria via LeMat-Bulk).

Results
The density of states at the Fermi level comes out at 8.93 states/eV per cell. The value obtained for the formation energy from the elements is -0.343 eV per atom. Its uncorrected energy is -4.4211 eV/atom. The magnetization is 0.0 μB/f.u.

Cell lengths 4.9641, 15.6031, 3.4458 Å; angles 90.00, 90.00, 90.00 degrees
Closest atoms and distances in Å follow each position.
Space group Cmmm (No. 65)
Asymmetric unit:
Tm1 0.0000 0.0000 0.0000  2 C 2.48
Tm2 0.0000 0.3905 0.5000  2 C 2.43
Cd1 0.0000 0.2009 0.0000  2 Cd 2.92, 1 Tm 3.13
C1 0.0000 0.5000 0.0000  6 Tm 2.43-2.48

***

[4]
# Tm2CdC

A relaxed Tm2CdC crystal (PBE, Alexandria via LeMat-Bulk).

Results
The density of states at the Fermi level comes out at 10.29 states/eV per cell. The value obtained for the formation energy from the elements is -0.346 eV per atom. Its uncorrected energy is -5.1164 eV/atom. The magnetization is 0.6 μB/f.u.

Cell lengths 3.5281, 3.5281, 24.2215 Å; angles 90.00, 90.00, 120.00 degrees
Closest atoms and distances in Å follow each position.
Space group R-3m (No. 166, hexagonal axes)
Asymmetric unit:
Tm1 0.0000 0.0000 0.2215  3 C 2.43
Cd1 0.0000 0.0000 0.0000  6 Tm 3.39, 6 Cd 3.53
C1 0.0000 0.0000 0.5000  6 Tm 2.43

***

[5]
# Tm2CdC

A relaxed Tm2CdC crystal (PBE, Alexandria via LeMat-Bulk).

Results
The density of states at the Fermi level comes out at 7.35 states/eV per cell. The value obtained for the formation energy from the elements is -0.157 eV per atom. Its uncorrected energy is -4.9275 eV/atom. The magnetization is 0.0 μB/f.u.

Cell lengths 4.9530, 10.1374, 7.2920 Å; angles 90.00, 90.00, 90.00 degrees
Closest atoms and distances in Å follow each position.
Space group Ima2 (No. 46)
Asymmetric unit:
Tm1 0.2500 0.1049 0.0000  3 C 2.29-2.48
Tm2 0.2500 0.7094 0.7998  2 C 2.29-2.31
Cd1 0.2500 0.0812 0.5461  2 Cd 2.97, 4 Tm 3.20-3.32
C1 0.2500 0.6213 0.5113  5 Tm 2.29-2.48

***

[6]
# Tm4CdC

A relaxed Tm4CdC crystal (PBE, Alexandria via LeMat-Bulk).

Results
The density of states at the Fermi level comes out at 27.06 states/eV per cell. The value obtained for the formation energy from the elements is -0.131 eV per atom. Its uncorrected energy is -4.8017 eV/atom. The magnetization is 0.0 μB/f.u.

Cell lengths 8.4324, 13.6363, 6.0593 Å; angles 90.00, 118.73, 90.00 degrees
Closest atoms and distances in Å follow each position.
Space group C2/c (No. 15)
Asymmetric unit:
Tm1 0.1367 0.2017 0.1432  1 C 2.37
Tm2 0.2050 0.0502 0.6832  2 C 2.37-2.57
Cd1 0.0000 0.3876 0.7500  8 Tm 3.06-3.29
C1 0.0000 0.0717 0.2500  6 Tm 2.37-2.57

***

- Number 3 is which compound?
  Tm3Cd2C